i | TlFe2Se2: PBEsol geometry, meta-GGA SCAN.

Cell and atoms, written as POSCAR:
```
TlFe2Se2
1.0
3.768 0.000 0.000
0.000 3.768 0.000
-1.884 -1.884 6.534
Fe Se Tl
2 2 1
Cartesian
1.884 0.000 3.267
0.000 1.884 3.267
1.884 1.884 1.982
0.000 0.000 4.551
0.000 0.000 0.000
```

Results
crystal system: tetragonal
density: 8.48 g/cm3

=====

ii | TlFe2Se2: PBEsol geometry, meta-GGA SCAN.

Cell and atoms, written as POSCAR:
```
TlFe2Se2
1.0
4.780 0.000 0.000
-2.390 4.732 0.009
0.000 2.407 4.130
Se Tl Fe
2 1 2
Cartesian
2.390 4.171 3.102
0.000 2.968 1.037
0.000 0.000 0.000
2.390 2.186 1.492
0.000 4.952 2.647
```

Results
crystal system: tetragonal
density: 8.43 g/cm3

=====

Q: Which of them is the most stable? A: i.

=====

i | Mg2SbTe: PBEsol geometry, meta-GGA SCAN.

Cell and atoms, written as POSCAR:
```
Mg2SbTe
1.0
-3.887 -0.373 -0.392
-0.420 -0.202 4.348
-0.589 5.917 0.218
Te Sb Mg
1 1 2
Cartesian
-1.151 2.735 3.876
-2.583 -0.308 1.374
-0.849 -0.222 3.742
-2.886 2.649 1.508
```

Results
crystal system: monoclinic
density: 4.85 g/cm3

=====

ii | Mg2SbTe: PBEsol geometry, meta-GGA SCAN.

Cell and atoms, written as POSCAR:
```
Mg2SbTe
1.0
3.201 0.000 0.000
0.000 5.498 0.000
0.000 0.000 5.498
Mg Sb Te
2 1 1
Cartesian
0.000 2.749 0.000
0.000 0.000 2.749
1.601 2.749 2.749
1.601 0.000 0.000
```

Results
crystal system: tetragonal
density: 5.11 g/cm3

=====

Q: Which of them is the most stable? A: i.

=====

i | TlRe2Ag: PBEsol geometry, meta-GGA SCAN.

Cell and atoms, written as POSCAR:
```
TlRe2Ag
1.0
3.810 0.000 0.000
0.000 4.493 0.000
-1.905 -2.247 3.956
Tl Re Ag
1 2 1
Cartesian
0.000 0.000 3.922
0.000 0.000 0.168
1.905 0.000 1.800
0.000 2.247 2.022
```

Results
crystal system: orthorhombic
density: 16.79 g/cm3

=====

ii | TlRe2Ag: PBEsol geometry, meta-GGA SCAN.

Cell and atoms, written as POSCAR:
```
TlRe2Ag
1.0
-1.180 2.504 0.405
-3.447 -1.016 -3.768
-1.209 -1.358 4.879
Tl Ag Re
1 1 2
Cartesian
-0.590 1.252 0.202
-2.918 0.065 0.758
-1.723 -0.508 -1.884
-0.604 -0.679 2.439
```

Results
crystal system: orthorhombic
density: 17.02 g/cm3

=====

Q: Which of them is the most stable? A: i.